Material: MnCoGe2Ru
Method: DFT, PBE-GGA
State: relaxed

a b c (Å): 4.536 4.536 4.319
angles (deg): 90.00 90.00 90.00
Fractional coordinates of all 5 atoms:
Mn (0.000, 0.000, 0.000)
Co (0.500, 0.500, 0.500)
Ge (0.000, 0.500, 0.000)
Ge (0.500, 0.000, 0.000)
Ru (0.000, 0.000, 0.500)

Summary:
The total energy comes out at -5.9397 eV per atom. Its space group is P4/mmm, No. 123. The total magnetization is 0.27 μB/atom. For the formation energy from the elements, the calculation gives 1018 meV/atom.